No. 1
Entry from the Alexandria database: crystalline AlCdOF2 at its relaxed geometry (PBEsol).

Calculated values
V   84.5 Å³ per cell
Formation energy without anion corrections   -0.4277 eV per atom

Cell lengths 4.706, 4.706, 3.814 Å; angles 90.00, 90.00, 90.00 degrees
Space group P4/mmm (No. 123)
Unique sites:
Al  0.000  0.000  0.000 x1
Cd  0.500  0.500  0.000 x1
O  0.500  0.500  0.500 x1
F  0.000  0.500  0.500 x2

No. 2
Entry from the Alexandria database: crystalline AlCd2Fe at its relaxed geometry (PBEsol).

Calculated values
V   128.5 Å³ per cell
Calculated formation energy   224 meV per atom

Cell lengths 3.932, 3.932, 8.311 Å; angles 90.00, 90.00, 90.00 degrees
Space group I-4m2 (No. 119)
Unique sites:
Al  0.000  0.000  0.000 x2
Cd  0.000  0.000  0.500 x2
Cd  0.000  0.500  0.750 x2
Fe  0.000  0.500  0.250 x2

No. 3
Entry from the Alexandria database: crystalline Al2CdGa2 at its relaxed geometry (PBEsol).

Calculated values
V   192.5 Å³ per cell
Calculated formation energy   122 meV per atom

Cell lengths 3.980, 3.980, 12.149 Å; angles 90.00, 90.00, 90.00 degrees
Space group I4/mmm (No. 139)
Unique sites:
Al  0.000  0.000  0.105 x4
Cd  0.000  0.000  0.500 x2
Ga  0.000  0.500  0.250 x4

Number 1: ρ 3802 kg/m3. Number 2: ρ 7953 kg/m3. Number 3: ρ 5277 kg/m3.